Record 1
TlCd2HgAu | GGA-PBE | relaxed

Cell lengths 5.329, 5.329, 5.363 Å; angles 90.00, 90.00, 90.00 degrees
Sites, in units of the cell vectors:
Tl1 0.500 0.500 0.500
Au1 0.000 0.000 0.000
Hg1 0.000 0.000 0.500
Cd1 0.500 0.000 0.000
Cd2 0.000 0.500 0.000

Computed properties:
The density of states at the Fermi level comes out at 0.41 states/eV per atom. The calculation puts the formation energy at 0.048 eV/atom. The offset from the most stable computed form comes out at 14 meV per atom. The value obtained for the size of the total moment is 0.0 μB per cell.


Record 2
SmDyIr | GGA-PBE | relaxed

Cell lengths 6.224, 4.144, 4.144 Å; angles 120.00, 90.00, 90.00 degrees
Sites, in units of the cell vectors:
Dy1 0.107 0.000 0.000
Sm1 0.565 0.667 0.333
Ir1 0.328 0.333 0.667

Computed properties:
The density of states at the Fermi level comes out at 0.67 states/eV per atom. The calculation puts the formation energy at -0.530 eV/atom. The offset from the most stable computed form comes out at 105 meV per atom. The value obtained for the size of the total moment is 0.0 μB per cell.


Record 3
KAsPt2 | GGA-PBE | relaxed

Cell lengths 5.722, 5.722, 5.722 Å; angles 145.44, 120.84, 70.35 degrees
Sites, in units of the cell vectors:
Pt1 0.566 0.566 0.000
K1 0.250 0.750 0.500
Pt2 0.934 0.934 0.000
As1 0.750 0.250 0.500

Computed properties:
The density of states at the Fermi level comes out at 0.51 states/eV per atom. The calculation puts the formation energy at 0.132 eV/atom. The value obtained for the size of the total moment is 0.0 μB per cell.


Record 4
CrHg3B | GGA-PBE | relaxed

Cell lengths 4.668, 4.668, 4.668 Å; angles 90.00, 90.00, 90.00 degrees
Site moments in Bohr magnetons follow the coordinates.
Sites, in units of the cell vectors:
Cr1 0.500 0.500 0.500  4.11
Hg1 0.500 0.000 0.000  0.01
B1 0.000 0.000 0.000  0.04
Hg2 0.000 0.000 0.500  -0.01
Hg3 0.000 0.500 0.000  0.00

Computed properties:
The density of states at the Fermi level comes out at 0.38 states/eV per atom. The calculation puts the formation energy at 0.861 eV/atom. The offset from the most stable computed form comes out at 0 meV per atom. The value obtained for the size of the total moment is 4.8 μB per cell.